DFT (PBE) results for a geometry-optimized NaMnGa2Sn structure.

Cell: 4.729 4.729 4.885 Å, 90.00 90.00 90.00°
Fractional positions:
Na 0.500 0.500 0.500
Sn 0.000 0.000 0.500
Mn 0.000 0.000 0.000
Ga 0.500 0.000 0.000
Ga 0.000 0.500 0.000

Summary:
* space group: No. 123
* total moment: 0.0006 μB/atom

DFT (PBE) results for a geometry-optimized Cr2ReOsCl structure.

Cell: 4.077 4.347 4.077 Å, 90.00 90.00 90.00°
Site moments in Bohr magnetons follow the coordinates.
Fractional positions:
Os 0.500 0.500 0.500  -0.07
Cr 0.500 0.000 0.000  0.63
Cr 0.000 0.000 0.500  0.82
Re 0.000 0.500 0.000  -0.34
Cl 0.000 0.000 0.000  -0.01

Summary:
* formation energy without anion corrections: 1.302 eV/atom
* space group: No. 123
* total moment: 0.2111 μB/atom

DFT (PBE) results for a geometry-optimized Dy8In2Ge structure.

Cell: 5.098 6.721 9.856 Å, 103.70 104.99 90.00°
Fractional positions:
Dy 0.981 0.228 0.961
Dy 0.213 0.309 0.427
Dy 0.349 0.017 0.698
Dy 0.410 0.543 0.819
Dy 0.590 0.457 0.181
Dy 0.787 0.691 0.573
Dy 0.651 0.983 0.302
Dy 0.019 0.772 0.039
In 0.817 0.249 0.634
In 0.183 0.751 0.366
Ge 0.500 0.000 0.000

Summary:
* space group: No. 12
* total moment: 0.0001 μB/atom

DFT (PBE) results for a geometry-optimized Cd2AgSnW structure.

Cell: 5.427 5.180 5.427 Å, 90.00 90.00 90.00°
Site moments in Bohr magnetons follow the coordinates.
Fractional positions:
Sn 0.000 0.000 0.000  0.08
W 0.500 0.500 0.500  3.38
Ag 0.000 0.500 0.000  0.04
Cd 0.500 0.000 0.000  0.02
Cd 0.000 0.000 0.500  -0.02

Summary:
* space group: No. 123
* total moment: 1.0030 μB/atom

DFT (PBE) results for a geometry-optimized AcCd2Au6 structure.

Cell: 5.779 5.779 7.686 Å, 90.00 90.00 120.00°
Fractional positions:
Au 0.500 0.000 0.804
Au 0.500 0.500 0.196
Au 0.000 0.500 0.196
Au 0.500 0.500 0.804
Au 0.500 0.000 0.196
Au 0.000 0.500 0.804
Ac 0.000 0.000 0.000
Cd 0.333 0.667 0.500
Cd 0.667 0.333 0.500

Summary:
* space group: No. 191
* total moment: 0.0000 μB/atom
* ΔE to the lowest computed polymorph: 0.0000 eV per atom

DFT (PBE) results for a geometry-optimized Si2HgP structure.

Cell: 5.082 5.082 2.780 Å, 90.00 90.00 90.06°
Fractional positions:
Si 0.000 0.000 0.000
Si 0.500 0.500 0.000
Hg 0.500 0.000 0.500
P 0.000 0.500 0.500

Summary:
* formation energy without anion corrections: 0.682 eV/atom
* space group: No. 123
* total moment: 0.0000 μB/atom
* ΔE to the lowest computed polymorph: 0.4282 eV per atom

DFT (PBE) results for a geometry-optimized Er3IrCl2O6 structure.

Cell: 5.475 6.467 6.493 Å, 119.87 81.73 90.00°
Site moments in Bohr magnetons follow the coordinates.
Fractional positions:
O 0.705 0.818 0.116  0.12
O 0.295 0.182 0.884  0.12
O 0.295 0.702 0.884  0.12
O 0.674 0.830 0.660  0.12
O 0.705 0.298 0.116  0.12
O 0.326 0.170 0.340  0.12
Cl 0.148 0.709 0.418  0.01
Cl 0.852 0.291 0.582  0.01
Ir 0.500 0.000 0.000  1.09
Er 0.500 0.500 0.500  0.04
Er 0.000 0.500 0.000  0.01
Er 0.500 0.000 0.500  0.04

Summary:
* formation energy without anion corrections: -2.136 eV/atom
* space group: No. 12
* total moment: 0.1690 μB/atom

Sequential E output: -4.1578; -7.6522; -4.5638; -2.7463; -3.1468; -3.4572; -6.8016 eV per atom